Entry 1:
La6P3SeS2 | PBE | optimized geometry

a b c (Å): 9.507 9.507 8.496
angles (deg): 103.14 103.14 25.79
Element x y z (fractional)
La 0.001 0.001 0.240
La 0.329 0.329 0.419
La 0.335 0.335 0.914
La 0.665 0.665 0.086
La 0.671 0.671 0.581
La 0.999 0.999 0.760
P 0.166 0.166 0.333
P 0.500 0.500 0.000
P 0.834 0.834 0.667
Se 0.500 0.500 0.500
S 0.167 0.167 0.834
S 0.833 0.833 0.166

Values from the calculation:
Formation energy from raw total energies in eV/f.u.: -22.83
Total moment in Bohr magnetons per cell: 0.0

---

Entry 2:
CeSmMg2 | PBE | optimized geometry

a b c (Å): 11.830 11.830 11.830
angles (deg): 15.97 15.97 15.97
Element x y z (fractional)
Ce 0.000 0.000 0.000
Sm 0.500 0.500 0.500
Mg 0.250 0.250 0.250
Mg 0.750 0.750 0.750

Values from the calculation:
Total moment in Bohr magnetons per cell: 0.7
Formation energy in meV/atom: 68.6

---

Entry 3:
GdPaReRu | PBE | optimized geometry

a b c (Å): 4.875 4.875 4.875
angles (deg): 60.00 60.00 60.00
Element x y z (fractional)
Gd 0.000 0.000 0.000
Pa 0.500 0.500 0.500
Re 0.750 0.750 0.750
Ru 0.250 0.250 0.250

Values from the calculation:
Total moment in Bohr magnetons per cell: 6.8
Formation energy in meV/atom: -96.9

---

Entry 4:
Nb2Re2Ni | PBE | optimized geometry

a b c (Å): 7.458 7.458 3.076
angles (deg): 90.00 90.00 90.00
Element x y z (fractional)
Nb 0.151 0.349 0.000
Nb 0.349 0.849 0.000
Nb 0.651 0.151 0.000
Nb 0.849 0.651 0.000
Re 0.149 0.649 0.500
Re 0.351 0.149 0.500
Re 0.649 0.851 0.500
Re 0.851 0.351 0.500
Ni 0.000 0.000 0.000
Ni 0.500 0.500 0.000

Values from the calculation:
Total moment in Bohr magnetons per cell: 0.0
Formation energy in meV/atom: 528.8

---

Entry 5:
HfNbTl | PBE | optimized geometry

a b c (Å): 7.918 5.825 5.950
angles (deg): 90.00 103.18 90.00
Element x y z (fractional)
Hf 0.192 0.140 0.129
Hf 0.192 0.360 0.629
Hf 0.808 0.640 0.371
Hf 0.808 0.860 0.871
Nb 0.105 0.637 0.159
Nb 0.105 0.863 0.659
Nb 0.895 0.137 0.341
Nb 0.895 0.363 0.841
Tl 0.441 0.743 0.020
Tl 0.441 0.757 0.520
Tl 0.559 0.243 0.480
Tl 0.559 0.257 0.980

Values from the calculation:
Total moment in Bohr magnetons per cell: 0.0
Formation energy in meV/atom: 222.5

---

Entry 6:
SrNiSn2 | PBE | optimized geometry

a b c (Å): 5.134 5.134 5.134
angles (deg): 60.00 60.00 60.00
Element x y z (fractional)
Sr 0.000 0.000 0.000
Ni 0.500 0.500 0.500
Sn 0.250 0.250 0.250
Sn 0.750 0.750 0.750

Values from the calculation:
Total moment in Bohr magnetons per cell: 0.0
Formation energy in meV/atom: -11.5